[1]
This record from the Alexandria database describes a PBEsol-optimized structure of Cs2TiW3O12. The functional is meta-GGA SCAN.

a b c (Å): 7.253 7.253 7.253
angles (deg): 60.38 60.38 60.38
Positions (direct):
Cs (0.631, 0.631, 0.631)
Cs (0.369, 0.369, 0.369)
Ti (0.000, 0.000, 0.000)
W (0.500, 0.000, 0.000)
W (0.000, 0.000, 0.500)
W (0.000, 0.500, 0.000)
O (0.942, 0.311, 0.311)
O (0.313, 0.941, 0.941)
O (0.311, 0.311, 0.942)
O (0.941, 0.941, 0.313)
O (0.941, 0.313, 0.941)
O (0.311, 0.942, 0.311)
O (0.058, 0.689, 0.689)
O (0.687, 0.059, 0.059)
O (0.689, 0.689, 0.058)
O (0.059, 0.059, 0.687)
O (0.059, 0.687, 0.059)
O (0.689, 0.058, 0.689)

Raw total energy (eV per cell): -420.83
Energy relative to the elements, uncorrected (eV per formula unit): -45.34
N(E_F) (states/eV per cell): 0.00
Symmetry: R-3m, No. 166

=====

[2]
This record from the Alexandria database describes a PBEsol-optimized structure of CsTlO2. The functional is meta-GGA SCAN.

a b c (Å): 6.130 6.130 6.130
angles (deg): 97.71 115.65 115.65
Positions (direct):
Cs (0.500, 0.250, 0.750)
Cs (0.000, 0.500, 0.500)
Tl (0.500, 0.750, 0.250)
Tl (0.000, 0.000, 0.000)
O (0.097, 0.722, 0.125)
O (0.903, 0.028, 0.625)
O (0.597, 0.875, 0.972)
O (0.403, 0.375, 0.278)

Raw total energy (eV per cell): -253.71
Energy relative to the elements, uncorrected (eV per formula unit): -4.23
Symmetry: I-42d, No. 122

=====

[3]
This record from the Alexandria database describes a PBEsol-optimized structure of CsTlO2. The functional is meta-GGA SCAN.

a b c (Å): 3.540 3.540 13.198
angles (deg): 90.00 90.00 120.00
Positions (direct):
Cs (0.667, 0.333, 0.250)
Cs (0.333, 0.667, 0.750)
Tl (0.000, 0.000, 0.500)
Tl (0.000, 0.000, 0.000)
O (0.667, 0.333, 0.587)
O (0.667, 0.333, 0.913)
O (0.333, 0.667, 0.087)
O (0.333, 0.667, 0.413)

Raw total energy (eV per cell): -253.50
Energy relative to the elements, uncorrected (eV per formula unit): -4.12
Symmetry: P6_3/mmc, No. 194

=====

[4]
This record from the Alexandria database describes a PBEsol-optimized structure of Cs3TmO3. The functional is meta-GGA SCAN.

a b c (Å): 7.458 8.017 11.990
angles (deg): 95.13 90.00 90.00
Positions (direct):
Cs (0.158, 0.351, 0.423)
Cs (0.877, 0.941, 0.343)
Cs (0.680, 0.381, 0.310)
Cs (0.180, 0.619, 0.190)
Cs (0.377, 0.059, 0.157)
Cs (0.658, 0.649, 0.077)
Cs (0.342, 0.351, 0.923)
Cs (0.623, 0.941, 0.843)
Cs (0.820, 0.381, 0.810)
Cs (0.320, 0.619, 0.690)
Cs (0.123, 0.059, 0.657)
Cs (0.842, 0.649, 0.577)
Tm (0.411, 0.846, 0.430)
Tm (0.911, 0.154, 0.070)
Tm (0.089, 0.846, 0.930)
Tm (0.589, 0.154, 0.570)
O (0.153, 0.756, 0.450)
O (0.447, 0.109, 0.415)
O (0.548, 0.708, 0.303)
O (0.048, 0.292, 0.197)
O (0.947, 0.891, 0.085)
O (0.653, 0.244, 0.050)
O (0.347, 0.756, 0.950)
O (0.053, 0.109, 0.915)
O (0.952, 0.708, 0.803)
O (0.452, 0.292, 0.697)
O (0.553, 0.891, 0.585)
O (0.847, 0.244, 0.550)

Polymorph energy (0 for the lowest one) (meV per atom): 0
Raw total energy (eV per cell): -797.06
Energy relative to the elements, uncorrected (eV per formula unit): -15.31
N(E_F) (states/eV per cell): 0.00
Symmetry: P2_1/c, No. 14

=====

[5]
This record from the Alexandria database describes a PBEsol-optimized structure of Cs3TmO3. The functional is meta-GGA SCAN.

a b c (Å): 7.385 7.385 7.514
angles (deg): 95.92 95.92 116.41
Positions (direct):
Cs (0.643, 0.643, 0.352)
Cs (0.211, 0.789, 0.500)
Cs (0.789, 0.211, 0.500)
Cs (0.263, 0.737, 0.000)
Cs (0.737, 0.263, 0.000)
Cs (0.357, 0.357, 0.648)
Tm (0.830, 0.830, 0.848)
Tm (0.170, 0.170, 0.152)
O (0.894, 0.894, 0.138)
O (0.840, 0.567, 0.732)
O (0.567, 0.840, 0.732)
O (0.433, 0.160, 0.268)
O (0.160, 0.433, 0.268)
O (0.106, 0.106, 0.862)

Polymorph energy (0 for the lowest one) (meV per atom): 10
Raw total energy (eV per cell): -398.38
Energy relative to the elements, uncorrected (eV per formula unit): -15.24
N(E_F) (states/eV per cell): 0.00
Symmetry: C2/m, No. 12

=====

[6]
This record from the Alexandria database describes a PBEsol-optimized structure of CsTmW2O8. The functional is meta-GGA SCAN.

a b c (Å): 5.979 5.979 8.075
angles (deg): 90.00 90.00 120.00
Positions (direct):
Cs (0.000, 0.000, 0.000)
Tm (0.000, 0.000, 0.500)
W (0.667, 0.333, 0.734)
W (0.333, 0.667, 0.266)
O (0.832, 0.663, 0.664)
O (0.168, 0.337, 0.336)
O (0.832, 0.168, 0.664)
O (0.168, 0.832, 0.336)
O (0.337, 0.168, 0.664)
O (0.663, 0.832, 0.336)
O (0.667, 0.333, 0.952)
O (0.333, 0.667, 0.048)

Raw total energy (eV per cell): -311.45
Energy relative to the elements, uncorrected (eV per formula unit): -32.59
N(E_F) (states/eV per cell): 0.00
Symmetry: P-3m1, No. 164

=====

[7]
This record from the Alexandria database describes a PBEsol-optimized structure of CsTmW2O8. The functional is meta-GGA SCAN.

a b c (Å): 7.476 7.502 7.502
angles (deg): 91.42 117.61 62.39
Positions (direct):
Cs (0.750, 0.802, 0.802)
Cs (0.250, 0.198, 0.198)
Tm (0.750, 0.226, 0.226)
Tm (0.250, 0.774, 0.774)
W (0.777, 0.690, 0.301)
W (0.223, 0.310, 0.699)
W (0.723, 0.301, 0.690)
W (0.277, 0.699, 0.310)
O (0.563, 0.752, 0.379)
O (0.437, 0.248, 0.621)
O (0.937, 0.379, 0.752)
O (0.063, 0.621, 0.248)
O (0.879, 0.058, 0.631)
O (0.121, 0.942, 0.369)
O (0.621, 0.631, 0.058)
O (0.379, 0.369, 0.942)
O (0.962, 0.372, 0.409)
O (0.038, 0.628, 0.591)
O (0.538, 0.409, 0.372)
O (0.462, 0.591, 0.628)
O (0.704, 0.953, 0.223)
O (0.296, 0.047, 0.777)
O (0.796, 0.223, 0.953)
O (0.204, 0.777, 0.047)

Raw total energy (eV per cell): -622.94
Energy relative to the elements, uncorrected (eV per formula unit): -32.60
N(E_F) (states/eV per cell): 0.00
Symmetry: C2/c, No. 15

=====

[8]
This record from the Alexandria database describes a PBEsol-optimized structure of Cs2U2O7. The functional is meta-GGA SCAN.

a b c (Å): 4.286 7.544 7.527
angles (deg): 112.17 90.00 106.50
Positions (direct):
Cs (0.396, 0.792, 0.078)
Cs (0.604, 0.208, 0.922)
U (0.147, 0.294, 0.492)
U (0.853, 0.706, 0.508)
O (0.801, 0.602, 0.238)
O (0.308, 0.617, 0.504)
O (0.088, 0.177, 0.222)
O (0.000, 0.000, 0.500)
O (0.692, 0.383, 0.496)
O (0.912, 0.823, 0.778)
O (0.199, 0.398, 0.762)

Raw total energy (eV per cell): -359.55
Energy relative to the elements, uncorrected (eV per formula unit): -33.25
N(E_F) (states/eV per cell): 0.00
Symmetry: C2/m, No. 12